# 1
# Ca2TeP2 | the Alexandria database | PBE-GGA | relaxed
data_Ca2TeP2
_chemical_formula_sum 'Ca4 Te2 P4'
_symmetry_space_group_name_H-M 'I 4/m m m'
_symmetry_Int_Tables_number 139
_symmetry_space_group_name_Hall '-I 4 2'
_cell_length_a 3.815
_cell_length_b 3.815
_cell_length_c 16.357
_cell_angle_alpha 90.00
_cell_angle_beta 90.00
_cell_angle_gamma 90.00
loop_
_atom_site_label
_atom_site_fract_x
_atom_site_fract_y
_atom_site_fract_z
Ca1 0.000 0.000 0.112
Te1 0.000 0.000 0.500
P1 0.000 0.500 0.250
# Formation energy from raw total energies = -4.6 eV per formula unit



# 2
# K3RhI6 | the Alexandria database | PBE-GGA | relaxed
data_K3RhI6
_chemical_formula_sum 'K6 Rh2 I12'
_symmetry_space_group_name_H-M 'P 1 21/c 1'
_symmetry_Int_Tables_number 14
_symmetry_space_group_name_Hall '-P 2ybc'
_cell_length_a 8.190
_cell_length_b 8.680
_cell_length_c 14.176
_cell_angle_alpha 90.00
_cell_angle_beta 124.51
_cell_angle_gamma 90.00
loop_
_atom_site_label
_atom_site_fract_x
_atom_site_fract_y
_atom_site_fract_z
K1 0.000 0.000 0.000
K2 0.218 0.081 0.748
Rh1 0.500 0.000 0.500
I1 0.179 0.166 0.449
I2 0.280 0.737 0.434
I3 0.402 0.042 0.284
# Formation energy from raw total energies = -9.3 eV per formula unit



# 3
# NaCa2Ga4Au3 | the Alexandria database | PBE-GGA | relaxed
data_NaCa2Ga4Au3
_chemical_formula_sum 'Na1 Ca2 Ga4 Au3'
_symmetry_space_group_name_H-M 'P -4 m 2'
_symmetry_Int_Tables_number 115
_symmetry_space_group_name_Hall 'P -4 -2'
_cell_length_a 4.303
_cell_length_b 4.303
_cell_length_c 11.683
_cell_angle_alpha 90.00
_cell_angle_beta 90.00
_cell_angle_gamma 90.00
loop_
_atom_site_label
_atom_site_fract_x
_atom_site_fract_y
_atom_site_fract_z
Na1 0.000 0.000 0.000
Ca1 0.000 0.500 0.737
Ga1 0.000 0.000 0.500
Ga2 0.000 0.500 0.148
Ga3 0.500 0.500 0.500
Au1 0.000 0.500 0.364
Au2 0.500 0.500 0.000
# ΔE_f = -437 kJ/mol of formula units



no.,total magnetization (μB/f.u.),total energy (eV/atom)
1,0.00,-4.517
2,0.00,-2.921
3,0.00,-3.179